(1)
# Tl2TeSe

Crystalline Tl2TeSe at its relaxed geometry (PBE, Alexandria).

```
data_Tl2TeSe
_cell_length_a 4.746
_cell_length_b 13.140
_cell_length_c 9.020
_cell_angle_alpha 90.00
_cell_angle_beta 90.00
_cell_angle_gamma 90.00
_symmetry_space_group_name_H-M 'C m c m'
_symmetry_Int_Tables_number 63
_symmetry_space_group_name_Hall '-C 2c 2'
loop_
_atom_site_label
_atom_site_type_symbol
_atom_site_fract_x
_atom_site_fract_y
_atom_site_fract_z
Tl1 Tl 0.000 0.129 0.020
Te1 Te 0.000 0.495 0.250
Se1 Se 0.000 0.306 0.750
```

Output
* distance to the lowest polymorph of the same formula: 3 meV/atom
* ρ: 7.3 g/cm3
* raw formation energy: -214 meV/atom
* raw total energy: -3.053 eV per atom



(2)
# Ac3Zn2Ni6Ge

Crystalline Ac3Zn2Ni6Ge at its relaxed geometry (PBE, Alexandria).

```
data_Ac3Zn2Ni6Ge
_cell_length_a 5.6355
_cell_length_b 5.6355
_cell_length_c 8.6299
_cell_angle_alpha 90.00
_cell_angle_beta 90.00
_cell_angle_gamma 120.00
_symmetry_space_group_name_H-M 'P -3 m 1'
_symmetry_Int_Tables_number 164
_symmetry_space_group_name_Hall '-P 3 2"'
loop_
_atom_site_label
_atom_site_type_symbol
_atom_site_fract_x
_atom_site_fract_y
_atom_site_fract_z
Ac1 Ac 0.0000 0.0000 0.0000
Ac2 Ac 0.3333 0.6667 0.6576
Zn1 Zn 0.3333 0.6667 0.0734
Ni1 Ni 0.1806 0.3612 0.3075
Ge1 Ge 0.0000 0.0000 0.5000
```

Output
* ρ: 8.7 g/cm3
* ΔH_f (0 K): -0.224 eV/atom
* raw total energy: -4.739 eV per atom



(3)
# Dy6Pd2Pt

Crystalline Dy6Pd2Pt at its relaxed geometry (PBE, Alexandria).

```
data_Dy6Pd2Pt
_cell_length_a 6.566
_cell_length_b 7.284
_cell_length_c 11.868
_cell_angle_alpha 90.00
_cell_angle_beta 121.00
_cell_angle_gamma 90.00
_symmetry_space_group_name_H-M 'P 1 21/c 1'
_symmetry_Int_Tables_number 14
loop_
_symmetry_equiv_pos_as_xyz
'x,y,z'
'-x,-y,-z'
'-x,y+1/2,-z+1/2'
'x,-y+1/2,z+1/2'
loop_
_atom_site_label
_atom_site_type_symbol
_atom_site_fract_x
_atom_site_fract_y
_atom_site_fract_z
Dy1 Dy 0.087 0.187 0.431
Dy2 Dy 0.253 0.670 0.427
Dy3 Dy 0.403 0.042 0.243
Pd1 Pd 0.173 0.117 0.734
Pt1 Pt 0.500 0.000 0.500
```

Output
* distance to the lowest polymorph of the same formula: 22 meV/atom
* ρ: 9.4 g/cm3
* ΔH_f (0 K): -0.656 eV/atom
* raw total energy: -5.549 eV per atom



(4)
# NdZrH3

Crystalline NdZrH3 at its relaxed geometry (PBE, Alexandria).

```
data_NdZrH3
_cell_length_a 4.001
_cell_length_b 4.001
_cell_length_c 4.001
_cell_angle_alpha 90.00
_cell_angle_beta 90.00
_cell_angle_gamma 90.00
_symmetry_space_group_name_H-M 'P m -3 m'
_symmetry_Int_Tables_number 221
_symmetry_space_group_name_Hall '-P 4 2 3'
loop_
_atom_site_label
_atom_site_type_symbol
_atom_site_fract_x
_atom_site_fract_y
_atom_site_fract_z
Nd1 Nd 0.000 0.000 0.000
Zr1 Zr 0.500 0.500 0.500
H1 H 0.000 0.500 0.500
```

Output
* ρ: 6.2 g/cm3
* raw total energy: -5.017 eV per atom



(5)
# AlZn2Tc

Crystalline AlZn2Tc at its relaxed geometry (PBE, Alexandria).

```
data_AlZn2Tc
_cell_length_a 3.616
_cell_length_b 3.616
_cell_length_c 8.682
_cell_angle_alpha 90.00
_cell_angle_beta 90.00
_cell_angle_gamma 90.00
_symmetry_space_group_name_H-M 'I 4/m m m'
_symmetry_Int_Tables_number 139
_symmetry_space_group_name_Hall '-I 4 2'
loop_
_atom_site_label
_atom_site_type_symbol
_atom_site_fract_x
_atom_site_fract_y
_atom_site_fract_z
Al1 Al 0.000 0.000 0.000
Zn1 Zn 0.000 0.500 0.250
Tc1 Tc 0.000 0.000 0.500
```

Output
* ρ: 7.5 g/cm3
* ΔH_f (0 K): -0.178 eV/atom
* raw total energy: -4.342 eV per atom



(6)
# BeIn4Si

Crystalline BeIn4Si at its relaxed geometry (PBE, Alexandria).

```
data_BeIn4Si
_cell_length_a 8.479
_cell_length_b 8.479
_cell_length_c 8.479
_cell_angle_alpha 90.00
_cell_angle_beta 90.00
_cell_angle_gamma 90.00
_symmetry_space_group_name_H-M 'F -4 3 m'
_symmetry_Int_Tables_number 216
_symmetry_space_group_name_Hall 'F -4 2 3'
loop_
_atom_site_label
_atom_site_type_symbol
_atom_site_fract_x
_atom_site_fract_y
_atom_site_fract_z
Be1 Be 0.000 0.000 0.000
In1 In 0.125 0.125 0.625
Si1 Si 0.250 0.250 0.250
```

Output
* ρ: 5.4 g/cm3
* raw formation energy: 803 meV/atom
* raw total energy: -2.548 eV per atom



| no. | size of the total moment (μB per atom) |
| --- | --- |
| 1 | 0.000 |
| 2 | 0.000 |
| 3 | 0.000 |
| 4 | 0.000 |
| 5 | 0.000 |
| 6 | 0.000 |